This record from Alexandria via LeMat-Bulk describes a relaxed structure of ZnMo2As. The functional is PBE.

Properties
**Density of states at the Fermi level**: 0.627 states/eV per atom
**Formation enthalpy at 0 K**: 0.2502 eV per atom
**M_tot**: 0.000 μB/atom
**Polymorph energy (0 for the lowest one)**: 222 meV/atom

Structure (CIF):
```
data_ZnMo2As
_cell_length_a 3.2710
_cell_length_b 4.2044
_cell_length_c 4.5263
_cell_angle_alpha 90.00
_cell_angle_beta 90.00
_cell_angle_gamma 90.00
_symmetry_space_group_name_H-M 'P m m m'
_symmetry_Int_Tables_number 47
loop_
_symmetry_equiv_pos_as_xyz
'x,y,z'
'-x,-y,-z'
'-x,-y,z'
'x,y,-z'
'x,-y,-z'
'-x,y,z'
'-x,y,-z'
'x,-y,z'
loop_
_atom_site_label
_atom_site_fract_x
_atom_site_fract_y
_atom_site_fract_z
Zn1 0.0000 0.0000 0.0000
Mo1 0.0000 0.5000 0.5000
Mo2 0.5000 0.5000 0.0000
As1 0.5000 0.0000 0.5000
```

---

This record from Alexandria via LeMat-Bulk describes a relaxed structure of Tb3SmIr. The functional is PBE.

Properties
**Density of states at the Fermi level**: 1.613 states/eV per atom
**Formation enthalpy at 0 K**: -0.2551 eV per atom
**M_tot**: 0.001 μB/atom
**Polymorph energy (0 for the lowest one)**: 65 meV/atom

Structure (CIF):
```
data_Tb3SmIr
_cell_length_a 5.4669
_cell_length_b 5.4669
_cell_length_c 5.4669
_cell_angle_alpha 90.00
_cell_angle_beta 90.00
_cell_angle_gamma 90.00
_symmetry_space_group_name_H-M 'P m -3 m'
_symmetry_Int_Tables_number 221
_symmetry_space_group_name_Hall '-P 4 2 3'
loop_
_atom_site_label
_atom_site_fract_x
_atom_site_fract_y
_atom_site_fract_z
Tb1 0.0000 0.0000 0.5000
Sm1 0.5000 0.5000 0.5000
Ir1 0.0000 0.0000 0.0000
```

---

This record from Alexandria via LeMat-Bulk describes a relaxed structure of AlGeAuS2. The functional is PBE.

Properties
**Density of states at the Fermi level**: 0.353 states/eV per atom
**M_tot**: 0.000 μB/atom
**Formation energy from raw total energies**: 0.61 eV per atom

Structure (CIF):
```
data_AlGeAuS2
_cell_length_a 4.9977
_cell_length_b 4.9977
_cell_length_c 4.7748
_cell_angle_alpha 90.00
_cell_angle_beta 90.00
_cell_angle_gamma 90.00
_symmetry_space_group_name_H-M 'P 4/m m m'
_symmetry_Int_Tables_number 123
_symmetry_space_group_name_Hall '-P 4 2'
loop_
_atom_site_label
_atom_site_fract_x
_atom_site_fract_y
_atom_site_fract_z
Al1 0.0000 0.0000 0.0000
Ge1 0.5000 0.5000 0.0000
Au1 0.0000 0.0000 0.5000
S1 0.0000 0.5000 0.5000
```

---

This record from Alexandria via LeMat-Bulk describes a relaxed structure of CoAgHg4. The functional is PBE.

Properties
**Density of states at the Fermi level**: 0.776 states/eV per atom
**Formation enthalpy at 0 K**: 0.6713 eV per atom
**M_tot**: 0.292 μB/atom

Structure (CIF):
```
data_CoAgHg4
_cell_length_a 8.1278
_cell_length_b 8.1278
_cell_length_c 8.1278
_cell_angle_alpha 90.00
_cell_angle_beta 90.00
_cell_angle_gamma 90.00
_symmetry_space_group_name_H-M 'F -4 3 m'
_symmetry_Int_Tables_number 216
_symmetry_space_group_name_Hall 'F -4 2 3'
loop_
_atom_site_label
_atom_site_fract_x
_atom_site_fract_y
_atom_site_fract_z
Co1 0.0000 0.0000 0.0000
Ag1 0.2500 0.2500 0.2500
Hg1 0.1251 0.1251 0.6251
```

---

This record from Alexandria via LeMat-Bulk describes a relaxed structure of Ba2MgCl. The functional is PBE.

Properties
**Density of states at the Fermi level**: 0.989 states/eV per atom
**M_tot**: 0.000 μB/atom
**Formation energy from raw total energies**: -0.70 eV per atom
**Polymorph energy (0 for the lowest one)**: 186 meV/atom

Structure (CIF):
```
data_Ba2MgCl
_cell_length_a 4.5988
_cell_length_b 7.3985
_cell_length_c 10.6586
_cell_angle_alpha 90.00
_cell_angle_beta 90.00
_cell_angle_gamma 90.00
_symmetry_space_group_name_H-M 'I m m m'
_symmetry_Int_Tables_number 71
_symmetry_space_group_name_Hall '-I 2 2'
loop_
_atom_site_label
_atom_site_fract_x
_atom_site_fract_y
_atom_site_fract_z
Ba1 0.0000 0.0000 0.2052
Mg1 0.0000 0.5000 0.0000
Cl1 0.0000 0.5000 0.5000
```

---

This record from Alexandria via LeMat-Bulk describes a relaxed structure of KSnO2. The functional is PBE.

Properties
**Density of states at the Fermi level**: 0.025 states/eV per atom
**M_tot**: 0.000 μB/atom
**Formation energy from raw total energies**: -1.42 eV per atom

Structure (CIF):
```
data_KSnO2
_cell_length_a 5.9996
_cell_length_b 5.9996
_cell_length_c 9.2464
_cell_angle_alpha 90.00
_cell_angle_beta 90.00
_cell_angle_gamma 90.00
_symmetry_space_group_name_H-M 'I -4 2 d'
_symmetry_Int_Tables_number 122
_symmetry_space_group_name_Hall 'I -4 2bw'
loop_
_atom_site_label
_atom_site_fract_x
_atom_site_fract_y
_atom_site_fract_z
K1 0.0000 0.0000 0.0000
Sn1 0.0000 0.0000 0.5000
O1 0.1551 0.2500 0.6250
```

---

This record from Alexandria via LeMat-Bulk describes a relaxed structure of KSr2Sm. The functional is PBE.

Properties
**Density of states at the Fermi level**: 1.653 states/eV per atom
**Formation enthalpy at 0 K**: 0.1686 eV per atom
**M_tot**: 0.156 μB/atom
**Polymorph energy (0 for the lowest one)**: 0 meV/atom

Structure (CIF):
```
data_KSr2Sm
_cell_length_a 4.0475
_cell_length_b 4.0475
_cell_length_c 12.4567
_cell_angle_alpha 90.00
_cell_angle_beta 90.00
_cell_angle_gamma 90.00
_symmetry_space_group_name_H-M 'P 4/m m m'
_symmetry_Int_Tables_number 123
_symmetry_space_group_name_Hall '-P 4 2'
loop_
_atom_site_label
_atom_site_fract_x
_atom_site_fract_y
_atom_site_fract_z
K1 0.0000 0.0000 0.0000
Sr1 0.5000 0.5000 0.2871
Sm1 0.0000 0.0000 0.5000
```

---

This record from Alexandria via LeMat-Bulk describes a relaxed structure of KSiTc3. The functional is PBE.

Properties
**Density of states at the Fermi level**: 1.117 states/eV per atom
**M_tot**: 0.697 μB/atom
**Formation energy from raw total energies**: 3.17 eV per atom
**Polymorph energy (0 for the lowest one)**: 1873 meV/atom

Structure (CIF):
```
data_KSiTc3
_cell_length_a 4.5195
_cell_length_b 4.5195
_cell_length_c 4.5195
_cell_angle_alpha 90.00
_cell_angle_beta 90.00
_cell_angle_gamma 90.00
_symmetry_space_group_name_H-M 'P m -3 m'
_symmetry_Int_Tables_number 221
_symmetry_space_group_name_Hall '-P 4 2 3'
loop_
_atom_site_label
_atom_site_fract_x
_atom_site_fract_y
_atom_site_fract_z
K1 0.0000 0.0000 0.0000
Si1 0.5000 0.5000 0.5000
Tc1 0.0000 0.0000 0.5000
```